Here is a geometry-optimized Na2InCl4 structure from Alexandria. Energies are from PBE-GGA. Values from VASP.

Geometry as Quantum ESPRESSO input:
```
&SYSTEM
  ibrav = 0, nat = 7, ntyp = 3
/
ATOMIC_SPECIES
In 114.82 In.upf
Na 22.99 Na.upf
Cl 35.45 Cl.upf
ATOMIC_POSITIONS angstrom
In -0.459 -3.423 3.556
Na -1.052 0.743 4.034
Cl 1.662 0.411 3.881
Cl -1.786 -1.692 5.051
Cl 2.164 -3.752 3.577
Cl 2.097 3.651 0.514
Na 3.121 -1.434 2.478
CELL_PARAMETERS angstrom
-4.632 -1.246 5.113
3.714 -5.600 1.999
2.987 6.155 -0.600
```

Symmetry: No. 121
ΔE_f (raw) (kJ/mol of formula units): -883
Crystal system: tetragonal
N(E_F) (states/eV per atom): 0.471
Total magnetic moment (μB per atom): 0.108
ΔE to the lowest computed polymorph (meV/atom): 0.0